The following is a DFT calculation (GGA-PBE) of an optimized crystal structure of CsBeHgTe2.

Values from the calculation:
- Total moment: 0.000 μB/f.u.
- Raw formation energy: -26.9 kJ/mol of atoms

The structure in CIF format:
```
data_CsBeHgTe2
_chemical_formula_sum 'Cs2 Be2 Hg2 Te4'
_cell_length_a 8.1617
_cell_length_b 7.2055
_cell_length_c 7.2479
_cell_angle_alpha 90.00
_cell_angle_beta 116.25
_cell_angle_gamma 90.00
_space_group_name_H-M_alt 'P 1'
_space_group_IT_number 1
loop_
_space_group_symop_operation_xyz
'x,y,z'
loop_
_atom_site_label
_atom_site_fract_x
_atom_site_fract_y
_atom_site_fract_z
_atom_site_occupancy
Cs1 0.0000 0.2387 0.2500 1
Cs2 0.0000 0.7613 0.7500 1
Be1 0.5000 0.5000 0.0000 1
Be2 0.5000 0.5000 0.5000 1
Hg1 0.5000 0.0003 0.2500 1
Hg2 0.5000 0.9997 0.7500 1
Te1 0.2810 0.2818 0.8905 1
Te2 0.2810 0.7182 0.3905 1
Te3 0.7190 0.2818 0.6095 1
Te4 0.7190 0.7182 0.1095 1
```